! SrMnO3 | Alexandria | PBE+U | optimized geometry; values from VASP
&SYSTEM
  ibrav = 0, nat = 20, ntyp = 3
/
ATOMIC_SPECIES
Sr 87.62 Sr.upf
Mn 54.94 Mn.upf
O 16.00 O.upf
ATOMIC_POSITIONS angstrom
Sr 4.212 4.163 4.422
Sr 4.925 1.764 1.474
Sr 4.212 -1.764 4.422
Sr 4.925 -4.163 1.474
Mn 2.033 0.994 4.290
Mn 2.746 -0.994 1.342
Mn 6.392 0.994 4.553
Mn 7.105 -0.994 1.606
O 0.324 1.112 3.870
O 2.691 2.386 5.071
O 1.037 -1.112 0.922
O 2.970 0.264 2.919
O 2.256 -0.264 5.867
O 5.734 2.386 3.773
O 3.404 -2.386 2.123
O 6.881 0.264 0.029
O 6.168 -0.264 2.977
O 8.101 1.112 4.974
O 6.447 -2.386 0.825
O 8.814 -1.112 2.026
CELL_PARAMETERS angstrom
5.282 -5.120 0.000
5.282 5.120 0.000
-1.426 0.000 5.896
! - DFT total energy: -6.698 eV/atom